#w
A plane-wave DFT calculation with PBE was carried out for a relaxed ScZnMo2 crystal.

Structure (CIF):
```
data_ScZnMo2
_space_group_name_H-M_alt 'P 4 m m'
_space_group_IT_number 99
_space_group_name_Hall 'P 4 -2'
_cell_length_a 3.256
_cell_length_b 3.256
_cell_length_c 6.387
_cell_angle_alpha 90.00
_cell_angle_beta 90.00
_cell_angle_gamma 90.00
loop_
_atom_site_label
_atom_site_type_symbol
_atom_site_fract_x
_atom_site_fract_y
_atom_site_fract_z
Sc1 Sc 0.000 0.000 0.000
Zn1 Zn 0.500 0.500 0.270
Mo1 Mo 0.000 0.000 0.513
Mo2 Mo 0.500 0.500 0.722
```

#x
A plane-wave DFT calculation with PBE was carried out for a relaxed ScZnMo2 crystal.

Structure (CIF):
```
data_ScZnMo2
_space_group_name_H-M_alt 'I m m 2'
_space_group_IT_number 44
_space_group_name_Hall 'I 2 -2'
_cell_length_a 4.531
_cell_length_b 4.540
_cell_length_c 6.421
_cell_angle_alpha 90.00
_cell_angle_beta 90.00
_cell_angle_gamma 90.00
loop_
_atom_site_label
_atom_site_type_symbol
_atom_site_fract_x
_atom_site_fract_y
_atom_site_fract_z
Sc1 Sc 0.000 0.000 0.000
Zn1 Zn 0.000 0.500 0.750
Mo1 Mo 0.000 0.000 0.501
Mo2 Mo 0.000 0.500 0.250
```

#y
A plane-wave DFT calculation with PBE was carried out for a relaxed ScZnMo2 crystal.

Structure (CIF):
```
data_ScZnMo2
_space_group_name_H-M_alt 'I -4 2 d'
_space_group_IT_number 122
_space_group_name_Hall 'I -4 2bw'
_cell_length_a 7.458
_cell_length_b 7.458
_cell_length_c 5.137
_cell_angle_alpha 90.00
_cell_angle_beta 90.00
_cell_angle_gamma 90.00
loop_
_atom_site_label
_atom_site_type_symbol
_atom_site_fract_x
_atom_site_fract_y
_atom_site_fract_z
Sc1 Sc 0.000 0.000 0.000
Zn1 Zn 0.000 0.000 0.500
Mo1 Mo 0.216 0.250 0.625
```

#z
A plane-wave DFT calculation with PBE was carried out for a relaxed ScZnMo2 crystal.

Structure (CIF):
```
data_ScZnMo2
_space_group_name_H-M_alt 'P 1 2/m 1'
_space_group_IT_number 10
_space_group_name_Hall '-P 2y'
_cell_length_a 2.776
_cell_length_b 4.766
_cell_length_c 5.158
_cell_angle_alpha 90.00
_cell_angle_beta 98.67
_cell_angle_gamma 90.00
loop_
_atom_site_label
_atom_site_type_symbol
_atom_site_fract_x
_atom_site_fract_y
_atom_site_fract_z
Sc1 Sc 0.000 0.000 0.000
Zn1 Zn 0.500 0.000 0.500
Mo1 Mo 0.309 0.500 0.762
```

Least stable structure: #y

#w
A plane-wave DFT calculation with PBE was carried out for a relaxed Sc2ZnMo crystal.

Structure (CIF):
```
data_Sc2ZnMo
_space_group_name_H-M_alt 'P m m 2'
_space_group_IT_number 25
_space_group_name_Hall 'P 2 -2'
_cell_length_a 3.088
_cell_length_b 3.622
_cell_length_c 6.900
_cell_angle_alpha 90.00
_cell_angle_beta 90.00
_cell_angle_gamma 90.00
loop_
_atom_site_label
_atom_site_type_symbol
_atom_site_fract_x
_atom_site_fract_y
_atom_site_fract_z
Sc1 Sc 0.000 0.000 0.000
Sc2 Sc 0.500 0.500 0.343
Zn1 Zn 0.000 0.000 0.574
Mo1 Mo 0.500 0.500 0.764
```

#x
A plane-wave DFT calculation with PBE was carried out for a relaxed Sc2ZnMo crystal.

Structure (CIF):
```
data_Sc2ZnMo
_space_group_name_H-M_alt 'I m m 2'
_space_group_IT_number 44
_space_group_name_Hall 'I 2 -2'
_cell_length_a 3.887
_cell_length_b 4.258
_cell_length_c 8.872
_cell_angle_alpha 90.00
_cell_angle_beta 90.00
_cell_angle_gamma 90.00
loop_
_atom_site_label
_atom_site_type_symbol
_atom_site_fract_x
_atom_site_fract_y
_atom_site_fract_z
Sc1 Sc 0.000 0.000 0.000
Sc2 Sc 0.000 0.500 0.239
Zn1 Zn 0.000 0.500 0.750
Mo1 Mo 0.000 0.000 0.480
```

#y
A plane-wave DFT calculation with PBE was carried out for a relaxed Sc2ZnMo crystal.

Structure (CIF):
```
data_Sc2ZnMo
_space_group_name_H-M_alt 'C 1 m 1'
_space_group_IT_number 8
_space_group_name_Hall 'C -2y'
_cell_length_a 10.427
_cell_length_b 3.089
_cell_length_c 4.938
_cell_angle_alpha 90.00
_cell_angle_beta 108.34
_cell_angle_gamma 90.00
loop_
_atom_site_label
_atom_site_type_symbol
_atom_site_fract_x
_atom_site_fract_y
_atom_site_fract_z
Sc1 Sc 0.000 0.000 0.000
Sc2 Sc 0.211 0.000 0.640
Zn1 Zn 0.461 0.000 0.475
Mo1 Mo 0.253 0.500 0.169
```

Least stable structure: #w

#w
A plane-wave DFT calculation with PBE was carried out for a relaxed ScZn3Mo crystal.

Structure (CIF):
```
data_ScZn3Mo
_space_group_name_H-M_alt 'P m -3 m'
_space_group_IT_number 221
_space_group_name_Hall '-P 4 2 3'
_cell_length_a 4.969
_cell_length_b 4.969
_cell_length_c 4.969
_cell_angle_alpha 90.00
_cell_angle_beta 90.00
_cell_angle_gamma 90.00
loop_
_atom_site_label
_atom_site_type_symbol
_atom_site_fract_x
_atom_site_fract_y
_atom_site_fract_z
Sc1 Sc 0.000 0.000 0.000
Zn1 Zn 0.000 0.000 0.500
Mo1 Mo 0.500 0.500 0.500
```

#x
A plane-wave DFT calculation with PBE was carried out for a relaxed ScZn3Mo crystal.

Structure (CIF):
```
data_ScZn3Mo
_space_group_name_H-M_alt 'P m -3 m'
_space_group_IT_number 221
_space_group_name_Hall '-P 4 2 3'
_cell_length_a 4.781
_cell_length_b 4.781
_cell_length_c 4.781
_cell_angle_alpha 90.00
_cell_angle_beta 90.00
_cell_angle_gamma 90.00
loop_
_atom_site_label
_atom_site_type_symbol
_atom_site_fract_x
_atom_site_fract_y
_atom_site_fract_z
Sc1 Sc 0.000 0.000 0.000
Zn1 Zn 0.000 0.500 0.500
Mo1 Mo 0.500 0.500 0.500
```

Least stable structure: #w